The following is a PBE calculation of a geometry-optimized ThAgSn2 structure, from Alexandria via LeMat-Bulk.

Results
offset from the most stable computed form = 38 meV per atom
formation enthalpy at 0 K = -0.381 eV per atom

Cell: 4.5390 4.7305 4.7305 Å, 90.00 90.00 90.00°
With the nearest neighbours (Å) after each atom.
Positions (direct):
Ag 0.5000 0.0000 0.0000  8 Sn 3.28, 4 Th 3.34
Sn 0.0000 0.0000 0.5000  4 Th 3.28, 4 Ag 3.28, 4 Sn 3.34
Sn 0.0000 0.5000 0.0000  4 Th 3.28, 4 Ag 3.28, 4 Sn 3.34
Th 0.5000 0.5000 0.5000  8 Sn 3.28, 4 Ag 3.34

---

The following is a PBE calculation of a geometry-optimized HoScCoNi structure, from Alexandria via LeMat-Bulk.

Results
formation enthalpy at 0 K = -0.331 eV per atom

Cell: 4.5895 4.5895 4.5895 Å, 60.00 60.00 60.00°
With the nearest neighbours (Å) after each atom.
Positions (direct):
Sc 0.5000 0.5000 0.5000  4 Co 2.81, 4 Ni 2.81
Ni 0.2500 0.2500 0.2500  4 Ho 2.81, 4 Sc 2.81
Co 0.7500 0.7500 0.7500  4 Sc 2.81, 4 Ho 2.81
Ho 0.0000 0.0000 0.0000  4 Ni 2.81, 4 Co 2.81

---

The following is a PBE calculation of a geometry-optimized Pr8Nd2Sm3 structure, from Alexandria via LeMat-Bulk.

Results
offset from the most stable computed form = 48 meV per atom
formation enthalpy at 0 K = 0.199 eV per atom

Cell: 5.8413 7.7787 11.1614 Å, 110.39 90.03 90.00°
With the nearest neighbours (Å) after each atom.
Positions (direct):
Pr 0.0010 0.6720 0.3439  2 Nd 3.44, 4 Pr 3.61-3.62
Pr 0.9990 0.3280 0.6561  2 Nd 3.44, 4 Pr 3.61-3.62
Pr 0.9994 0.1325 0.2650  2 Sm 3.55, 2 Nd 3.70-3.71, 6 Pr 3.75-3.98
Pr 0.0006 0.8675 0.7350  2 Sm 3.55, 2 Nd 3.70-3.71, 6 Pr 3.75-3.98
Pr 0.4998 0.6017 0.7905  1 Sm 3.17, 1 Pr 3.21
Pr 0.4998 0.1888 0.7905  1 Sm 3.17, 1 Pr 3.21
Pr 0.5002 0.8112 0.2095  1 Sm 3.17, 1 Pr 3.21
Pr 0.5002 0.3983 0.2095  1 Sm 3.17, 1 Pr 3.21
Nd 0.4986 0.2411 0.4822  8 Pr 3.44-3.71
Nd 0.5014 0.7589 0.5178  8 Pr 3.44-3.71
Sm 0.5000 0.0000 0.0000  4 Pr 3.17
Sm 0.0000 0.2855 0.0000  3 Sm 3.34-3.67, 6 Pr 3.55-3.65
Sm 0.0000 0.7145 0.0000  3 Sm 3.34-3.67, 6 Pr 3.55-3.65

---

The following is a PBE calculation of a geometry-optimized Y4InHg3 structure, from Alexandria via LeMat-Bulk.

Results
formation enthalpy at 0 K = -0.510 eV per atom

Cell: 3.7256 3.7256 15.0530 Å, 90.00 90.00 90.00°
With the nearest neighbours (Å) after each atom.
Positions (direct):
Y 0.0000 0.0000 0.8709  4 Hg 3.22, 4 In 3.27
Y 0.0000 0.0000 0.1291  4 Hg 3.22, 4 In 3.27
Y 0.0000 0.0000 0.3757  8 Hg 3.22-3.23
Y 0.0000 0.0000 0.6243  8 Hg 3.22-3.23
Hg 0.5000 0.5000 0.2524  8 Y 3.22
Hg 0.5000 0.5000 0.5000  8 Y 3.23
Hg 0.5000 0.5000 0.7476  8 Y 3.22
In 0.5000 0.5000 0.0000  8 Y 3.27

---

The following is a PBE calculation of a geometry-optimized La5SmDyCd2 structure, from Alexandria via LeMat-Bulk.

Results
formation enthalpy at 0 K = 0.031 eV per atom

Cell: 8.9259 8.9259 9.8387 Å, 116.98 116.98 90.00°
With the nearest neighbours (Å) after each atom.
Positions (direct):
La 0.9285 0.4285 0.2637  1 Cd 3.12, 1 Sm 3.13
La 0.6649 0.1649 0.7363  1 Cd 3.12, 1 Sm 3.13
La 0.0715 0.5715 0.7363  1 Cd 3.12, 1 Sm 3.13
La 0.1649 0.0715 0.7363  1 Cd 3.12, 1 Sm 3.13
La 0.5715 0.6649 0.7363  1 Cd 3.12, 1 Sm 3.13
La 0.8351 0.9285 0.2637  1 Cd 3.12, 1 Sm 3.13
La 0.4285 0.3351 0.2637  1 Cd 3.12, 1 Sm 3.13
La 0.3351 0.8351 0.2637  1 Cd 3.12, 1 Sm 3.13
La 0.5000 0.5000 0.0000  4 Cd 3.64, 2 Dy 3.77, 8 La 3.78
La 0.0000 0.0000 0.0000  4 Cd 3.64, 2 Dy 3.77, 8 La 3.78
Sm 0.2500 0.7500 0.5000  4 La 3.13
Sm 0.7500 0.2500 0.5000  4 La 3.13
Dy 0.2500 0.2500 0.5000  10 La 3.67-3.77
Dy 0.7500 0.7500 0.5000  10 La 3.67-3.77
Cd 0.1066 0.3934 0.0000  1 Cd 2.69
Cd 0.6066 0.1066 0.0000  1 Cd 2.69
Cd 0.3934 0.8934 0.0000  1 Cd 2.69
Cd 0.8934 0.6066 0.0000  1 Cd 2.69

---

The following is a PBE calculation of a geometry-optimized KSi2P structure, from Alexandria via LeMat-Bulk.

Results
offset from the most stable computed form = 69 meV per atom
ΔE_f (raw) = 0.1668 eV per atom

Cell: 4.5567 2.8032 6.4305 Å, 90.03 90.00 90.00°
With the nearest neighbours (Å) after each atom.
Positions (direct):
K 0.0000 0.5004 0.5034  2 K 2.80
P 0.5000 0.9990 0.8257  1 Si 2.25
Si 0.0000 0.0001 0.9959  2 P 2.53, 4 Si 2.55-2.80
Si 0.5000 0.0005 0.1750  1 P 2.25

---

The following is a PBE calculation of a geometry-optimized K3In3SnO8 structure, from Alexandria via LeMat-Bulk.

Results
ΔE_f (raw) = -1.6246 eV per atom

Cell: 6.6070 6.6084 7.3802 Å, 116.62 89.97 119.98°
With the nearest neighbours (Å) after each atom.
Positions (direct):
K 0.0000 0.0000 0.0000  6 O 2.76-2.78
K 0.0000 0.5000 0.0000  6 O 2.76-2.78
K 0.5000 0.5000 0.0000  6 O 2.76-2.78
In 0.5000 0.0000 0.5000  6 O 2.22-2.25
In 0.5000 0.5000 0.5000  6 O 2.22-2.25
In 0.0000 0.5000 0.5000  6 O 2.22-2.25
Sn 0.0000 0.0000 0.5000  6 O 2.13
O 0.2734 0.5465 0.3197  3 In 2.22
O 0.7266 0.4535 0.6803  3 In 2.22
O 0.7824 0.5645 0.3225  1 Sn 2.13, 2 In 2.25
O 0.2176 0.4355 0.6775  1 Sn 2.13, 2 In 2.25
O 0.7824 0.0403 0.3225  1 Sn 2.13, 2 In 2.25
O 0.2176 0.9597 0.6775  1 Sn 2.13, 2 In 2.25
O 0.2582 0.0403 0.3225  1 Sn 2.13, 2 In 2.25
O 0.7418 0.9597 0.6775  1 Sn 2.13, 2 In 2.25

---

The following is a PBE calculation of a geometry-optimized AgTeIN2 structure, from Alexandria via LeMat-Bulk.

Results
offset from the most stable computed form = 445 meV per atom
ΔE_f (raw) = 1.6943 eV per atom

Cell: 4.0052 4.0052 7.0665 Å, 90.00 90.00 90.00°
With the nearest neighbours (Å) after each atom.
Positions (direct):
I 0.0000 0.0000 0.0000  4 N 2.00
Te 0.0000 0.0000 0.5000  4 Ag 2.83
Ag 0.5000 0.5000 0.5000  4 Te 2.83
N 0.0000 0.5000 0.0000  2 I 2.00
N 0.5000 0.0000 0.0000  2 I 2.00

---

The following is a PBE calculation of a geometry-optimized PaI4 structure, from Alexandria via LeMat-Bulk.

Results
offset from the most stable computed form = 378 meV per atom
ΔE_f (raw) = -0.4976 eV per atom

Cell: 6.0781 6.0781 6.0781 Å, 90.00 90.00 90.00°
With the nearest neighbours (Å) after each atom.
Positions (direct):
I 0.0000 0.0000 0.0000  12 I 4.30
I 0.5000 0.0000 0.5000  2 Pa 3.04
I 0.0000 0.5000 0.5000  2 Pa 3.04
I 0.5000 0.5000 0.0000  2 Pa 3.04
Pa 0.5000 0.5000 0.5000  6 I 3.04

---

The following is a PBE calculation of a geometry-optimized BaHS3 structure, from Alexandria via LeMat-Bulk.

Results
offset from the most stable computed form = 0 meV per atom

Cell: 4.5405 4.5405 4.5405 Å, 90.00 90.00 90.00°
With the nearest neighbours (Å) after each atom.
Positions (direct):
H 0.0000 0.0000 0.0000  6 S 2.27
S 0.0000 0.5000 0.0000  2 H 2.27
S 0.0000 0.0000 0.5000  2 H 2.27
S 0.5000 0.0000 0.0000  2 H 2.27
Ba 0.5000 0.5000 0.5000  12 S 3.21

---

The following is a PBE calculation of a geometry-optimized AcPmAl structure, from Alexandria via LeMat-Bulk.

Results
offset from the most stable computed form = 142 meV per atom
formation enthalpy at 0 K = -0.005 eV per atom

Cell: 5.3307 5.3307 5.3307 Å, 60.00 60.00 60.00°
With the nearest neighbours (Å) after each atom.
Positions (direct):
Ac 0.5000 0.5000 0.5000  4 Al 3.26
Al 0.2500 0.2500 0.2500  4 Ac 3.26, 4 Pm 3.26
Pm 0.0000 0.0000 0.0000  4 Al 3.26

---

The following is a PBE calculation of a geometry-optimized Tb3PrNd6Sm2 structure, from Alexandria via LeMat-Bulk.

Results
formation enthalpy at 0 K = 0.013 eV per atom

Cell: 6.3244 6.3244 12.0484 Å, 95.02 95.02 120.00°
With the nearest neighbours (Å) after each atom.
Positions (direct):
Tb 0.1668 0.8332 0.5000  6 Nd 3.61, 6 Tb 3.65
Tb 0.8332 0.1668 0.5000  6 Nd 3.61, 6 Tb 3.65
Tb 0.5000 0.5000 0.5000  6 Nd 3.61, 6 Tb 3.65
Pr 0.0000 0.0000 0.0000  6 Sm 3.65, 6 Nd 3.67
Nd 0.9154 0.5815 0.7472  3 Tb 3.61, 6 Nd 3.65-3.66, 2 Sm 3.66-3.67, 1 Pr 3.67
Nd 0.7508 0.7508 0.2528  3 Tb 3.61, 6 Nd 3.65-3.66, 2 Sm 3.67, 1 Pr 3.67
Nd 0.0846 0.4185 0.2528  3 Tb 3.61, 6 Nd 3.65-3.66, 2 Sm 3.66-3.67, 1 Pr 3.67
Nd 0.5815 0.9154 0.7472  3 Tb 3.61, 6 Nd 3.65-3.66, 2 Sm 3.66-3.67, 1 Pr 3.67
Nd 0.2492 0.2492 0.7472  3 Tb 3.61, 6 Nd 3.65-3.66, 2 Sm 3.67, 1 Pr 3.67
Nd 0.4185 0.0846 0.2528  3 Tb 3.61, 6 Nd 3.65-3.66, 2 Sm 3.66-3.67, 1 Pr 3.67
Sm 0.3334 0.6666 0.0000  3 Sm 3.65, 3 Pr 3.65, 6 Nd 3.66-3.67
Sm 0.6666 0.3334 0.0000  3 Sm 3.65, 3 Pr 3.65, 6 Nd 3.66-3.67

---

The following is a PBE calculation of a geometry-optimized HoAl4Au8 structure, from Alexandria via LeMat-Bulk.

Results
formation enthalpy at 0 K = -0.465 eV per atom

Cell: 5.5841 7.0641 7.0641 Å, 81.01 66.72 66.72°
With the nearest neighbours (Å) after each atom.
Positions (direct):
Ho 0.0000 0.0000 0.0000  4 Au 2.95
Al 0.0000 0.0000 0.5000  8 Au 2.70-2.76, 2 Al 2.79
Al 0.5000 0.0000 0.5000  8 Au 2.70-2.76, 2 Al 2.79
Al 0.0000 0.5000 0.0000  8 Au 2.70-2.76, 2 Al 2.79
Al 0.5000 0.5000 0.0000  8 Au 2.70-2.76, 2 Al 2.79
Au 0.0000 0.3216 0.6784  4 Al 2.76, 4 Au 2.94-3.05, 1 Ho 2.95
Au 0.0000 0.6784 0.3216  4 Al 2.76, 4 Au 2.94-3.05, 1 Ho 2.95
Au 0.3216 0.6784 0.6784  4 Al 2.76, 4 Au 2.94-3.05, 1 Ho 2.95
Au 0.6784 0.3216 0.3216  4 Al 2.76, 4 Au 2.94-3.05, 1 Ho 2.95
Au 0.5000 0.7803 0.2197  4 Al 2.70, 4 Au 2.85-2.94
Au 0.5000 0.2197 0.7803  4 Al 2.70, 4 Au 2.85-2.94
Au 0.2803 0.2197 0.2197  4 Al 2.70, 4 Au 2.85-2.94
Au 0.7197 0.7803 0.7803  4 Al 2.70, 4 Au 2.85-2.94

---

The following is a PBE calculation of a geometry-optimized Pu8Ge2Au structure, from Alexandria via LeMat-Bulk.

Results
formation enthalpy at 0 K = -0.129 eV per atom

Cell: 5.2314 6.2805 8.8623 Å, 110.75 107.16 90.03°
With the nearest neighbours (Å) after each atom.
Positions (direct):
Ge 0.1808 0.6809 0.3619  12 Pu 3.04-3.21
Ge 0.8192 0.3191 0.6381  12 Pu 3.04-3.21
Au 0.5000 0.0000 0.0000  8 Pu 2.95-3.10
Pu 0.6561 0.8967 0.3120  1 Pu 2.64, 1 Au 2.95
Pu 0.3443 0.5847 0.6880  1 Pu 2.64, 1 Au 2.95
Pu 0.2064 0.2063 0.4127  2 Pu 2.64
Pu 0.0002 0.2636 0.0000  2 Pu 2.97-3.31, 2 Au 3.10, 2 Ge 3.21
Pu 0.7936 0.7937 0.5873  2 Pu 2.64
Pu 0.6557 0.4153 0.3120  1 Pu 2.64, 1 Au 2.95
Pu 0.3439 0.1033 0.6880  1 Pu 2.64, 1 Au 2.95
Pu 0.9998 0.7364 0.0000  2 Pu 2.97-3.31, 2 Au 3.10, 2 Ge 3.21

---

The following is a PBE calculation of a geometry-optimized NdEuScHg structure, from Alexandria via LeMat-Bulk.

Results
formation enthalpy at 0 K = -0.028 eV per atom

Cell: 5.3833 5.3833 5.3833 Å, 60.00 60.00 60.00°
With the nearest neighbours (Å) after each atom.
Positions (direct):
Eu 0.2500 0.2500 0.2500  4 Nd 3.30, 4 Sc 3.30
Sc 0.0000 0.0000 0.0000  4 Eu 3.30, 4 Hg 3.30
Nd 0.5000 0.5000 0.5000  4 Hg 3.30, 4 Eu 3.30
Hg 0.7500 0.7500 0.7500  4 Nd 3.30, 4 Sc 3.30

---

The following is a PBE calculation of a geometry-optimized Ca2TiSbO6 structure, from Alexandria via LeMat-Bulk.

Results
ΔE_f (raw) = -2.4751 eV per atom

Cell: 4.3168 5.6200 5.6200 Å, 90.00 90.00 90.00°
With the nearest neighbours (Å) after each atom.
Positions (direct):
Ca 0.0239 0.5000 0.0000  4 O 2.41
Ca 0.0239 0.0000 0.5000  4 O 2.41
Ti 0.6020 0.0000 0.0000  5 O 1.77-1.97
Sb 0.6261 0.5000 0.5000  6 O 2.06-2.26
O 0.7075 0.2411 0.2411  1 Ti 1.97, 1 Sb 2.09
O 0.7075 0.2411 0.7589  1 Ti 1.97, 1 Sb 2.09
O 0.1497 0.5000 0.5000  2 Sb 2.06-2.26
O 0.1914 0.0000 0.0000  1 Ti 1.77
O 0.7075 0.7589 0.7589  1 Ti 1.97, 1 Sb 2.09
O 0.7075 0.7589 0.2411  1 Ti 1.97, 1 Sb 2.09

---

The following is a PBE calculation of a geometry-optimized NaYTiHg2 structure, from Alexandria via LeMat-Bulk.

Results
formation enthalpy at 0 K = 0.338 eV per atom

Cell: 5.3974 5.3974 5.0167 Å, 90.00 90.00 90.00°
With the nearest neighbours (Å) after each atom.
Positions (direct):
Y 0.0000 0.0000 0.5000  2 Ti 2.51
Na 0.5000 0.5000 0.5000  8 Hg 3.68, 4 Y 3.82
Hg 0.0000 0.5000 0.0000  2 Ti 2.70
Hg 0.5000 0.0000 0.0000  2 Ti 2.70
Ti 0.0000 0.0000 0.0000  2 Y 2.51, 4 Hg 2.70